A geometry-optimized CaMg2Mn structure, computed with PBE.

Cell lengths 3.3032, 4.9047, 6.1947 Å; angles 90.00, 102.12, 90.00 degrees
Last column: nearest neighbours and their distance in Å.
Space group Pm (No. 6)
Asymmetric unit:
Ca1 0.0000 0.0000 0.0000 (multiplicity 1)  4 Mn 3.23-3.30, 5 Mg 3.24-3.48, 2 Ca 3.30
Mg1 0.3361 0.0000 0.5303 (multiplicity 1)  2 Mn 2.86, 2 Mg 3.10
Mg2 0.7140 0.5000 0.3379 (multiplicity 1)  3 Mn 3.10-3.44, 6 Mg 3.10-3.30
Mn1 0.3900 0.5000 0.7728 (multiplicity 1)  4 Mg 2.86-3.12

## Properties
Total magnetization: 3.9 μB per formula unit
ρ: 2.43 g cm⁻³
ΔH_f (0 K): 0.278 eV/atom